Entry 1:
Density functional theory data (PBE) for crystalline Tb2Er3Th2 at its relaxed geometry.

```
data_Tb2Er3Th2
_chemical_formula_sum 'Tb4 Er6 Th4'
_space_group_name_H-M_alt 'C 1 2/m 1'
_space_group_IT_number 12
_cell_length_a 17.403
_cell_length_b 3.433
_cell_length_c 8.539
_cell_angle_alpha 90.00
_cell_angle_beta 119.11
_cell_angle_gamma 90.00
loop_
_space_group_symop_operation_xyz
'x,y,z'
'-x,-y,-z'
'-x,y,-z'
'x,-y,z'
'x+1/2,y+1/2,z'
'-x+1/2,-y+1/2,-z'
'-x+1/2,y+1/2,-z'
'x+1/2,-y+1/2,z'
loop_
_atom_site_label
_atom_site_fract_x
_atom_site_fract_y
_atom_site_fract_z
_atom_site_occupancy
Tb1 0.063 0.000 0.219 1
Er1 0.000 0.500 0.500 1
Er2 0.215 0.500 0.631 1
Th1 0.152 0.500 0.957 1
```

Computed properties:
- distance to the lowest polymorph of the same formula (meV per atom) = 115
- magnetization (μB per formula unit) = 0.00
- ΔE_f (eV/atom) = 0.139
- D(E_F) (states/eV/f.u.) = 10.4
- E (eV/atom) = -5.259

Entry 2:
Density functional theory data (PBE) for crystalline LuMgNiIr at its relaxed geometry.

```
data_LuMgNiIr
_chemical_formula_sum 'Lu4 Mg4 Ni4 Ir4'
_space_group_name_H-M_alt 'F -4 3 m'
_space_group_IT_number 216
_space_group_name_Hall 'F -4 2 3'
_cell_length_a 6.446
_cell_length_b 6.446
_cell_length_c 6.446
_cell_angle_alpha 90.00
_cell_angle_beta 90.00
_cell_angle_gamma 90.00
loop_
_atom_site_label
_atom_site_fract_x
_atom_site_fract_y
_atom_site_fract_z
_atom_site_occupancy
Lu1 0.000 0.000 0.000 1
Mg1 0.000 0.000 0.500 1
Ni1 0.250 0.250 0.250 1
Ir1 0.250 0.250 0.750 1
```

Computed properties:
- magnetization (μB per formula unit) = 0.00
- ΔE_f (eV/atom) = -0.531
- D(E_F) (states/eV/f.u.) = 2.3
- E (eV/atom) = -5.721

Entry 3:
Density functional theory data (PBE) for crystalline TaTeF2 at its relaxed geometry.

```
data_TaTeF2
_chemical_formula_sum 'Ta3 Te3 F6'
_space_group_name_H-M_alt 'R -3 m'
_space_group_IT_number 166
_space_group_name_Hall '-R 3 2"'
_cell_length_a 3.1138
_cell_length_b 3.1138
_cell_length_c 32.5203
_cell_angle_alpha 90.00
_cell_angle_beta 90.00
_cell_angle_gamma 120.00
loop_
_atom_site_label
_atom_site_fract_x
_atom_site_fract_y
_atom_site_fract_z
_atom_site_occupancy
Ta1 0.0000 0.0000 0.0000 1
Te1 0.0000 0.0000 0.5000 1
F1 0.0000 0.0000 0.0578 1
```

Computed properties:
- distance to the lowest polymorph of the same formula (meV per atom) = 0
- magnetization (μB per formula unit) = 0.00
- D(E_F) (states/eV/f.u.) = 2.1
- E (eV/atom) = -6.135

Entry 4:
Density functional theory data (PBE) for crystalline SmTh2SiN5 at its relaxed geometry.

```
data_SmTh2SiN5
_chemical_formula_sum 'Sm2 Th4 Si2 N10'
_space_group_name_H-M_alt 'P 4/m b m'
_space_group_IT_number 127
_space_group_name_Hall '-P 4 2ab'
_cell_length_a 6.690
_cell_length_b 6.690
_cell_length_c 5.782
_cell_angle_alpha 90.00
_cell_angle_beta 90.00
_cell_angle_gamma 90.00
loop_
_atom_site_label
_atom_site_fract_x
_atom_site_fract_y
_atom_site_fract_z
_atom_site_occupancy
Sm1 0.000 0.000 0.000 1
Th1 0.178 0.322 0.500 1
Si1 0.000 0.500 0.000 1
N1 0.000 0.000 0.500 1
N2 0.137 0.637 0.219 1
```

Computed properties:
- magnetization (μB per formula unit) = 0.00
- D(E_F) (states/eV/f.u.) = 0.3
- E (eV/atom) = -8.598

Q: The lowest D(E_F) belongs to which entry?
A: SmTh2SiN5